1.
# LaPrErTm PBE relaxed
# Magnetic moment, μB per formula unit: 0.01
# N(E_F), states/eV/atom: 1.703
# Offset from the most stable computed form, meV per atom: 12
data_LaPrErTm
_cell_length_a 12.480
_cell_length_b 5.892
_cell_length_c 3.858
_cell_angle_alpha 90.00
_cell_angle_beta 107.49
_cell_angle_gamma 90.00
_space_group_name_H-M_alt 'C 1 m 1'
_space_group_IT_number 8
loop_
_space_group_symop_operation_xyz
'x,y,z'
'x,-y,z'
'x+1/2,y+1/2,z'
'x+1/2,-y+1/2,z'
loop_
_atom_site_label
_atom_site_fract_x
_atom_site_fract_y
_atom_site_fract_z
La1 0.000 0.000 0.000
Pr1 0.230 0.500 0.183
Er1 0.252 0.000 0.717
Tm1 0.485 0.000 0.464

***

2.
# LaIn2HPb PBE relaxed
# Magnetic moment, μB per formula unit: 0.00
# N(E_F), states/eV/atom: 0.763
# Total energy, eV/atom: -3.770
data_LaIn2HPb
_cell_length_a 4.924
_cell_length_b 4.924
_cell_length_c 4.815
_cell_angle_alpha 90.00
_cell_angle_beta 90.00
_cell_angle_gamma 90.00
_space_group_name_H-M_alt 'P 4/m m m'
_space_group_IT_number 123
_space_group_name_Hall '-P 4 2'
loop_
_atom_site_label
_atom_site_fract_x
_atom_site_fract_y
_atom_site_fract_z
La1 0.000 0.000 0.000
In1 0.000 0.500 0.500
H1 0.000 0.000 0.500
Pb1 0.500 0.500 0.000

***

3.
# La12Ni6Au PBE relaxed
# Magnetic moment, μB per formula unit: 0.00
# N(E_F), states/eV/atom: 0.910
# Total energy, eV/atom: -5.418
data_La12Ni6Au
_cell_length_a 10.134
_cell_length_b 10.134
_cell_length_c 10.134
_cell_angle_alpha 90.00
_cell_angle_beta 90.00
_cell_angle_gamma 90.00
_space_group_name_H-M_alt 'I m -3'
_space_group_IT_number 204
_space_group_name_Hall '-I 2 2 3'
loop_
_atom_site_label
_atom_site_fract_x
_atom_site_fract_y
_atom_site_fract_z
La1 0.000 0.306 0.183
Ni1 0.000 0.127 0.500
Au1 0.000 0.000 0.000

***

4.
# TbZr2Co PBE relaxed
# Magnetic moment, μB per formula unit: 0.00
# N(E_F), states/eV/atom: 1.097
# Offset from the most stable computed form, meV per atom: 0
data_TbZr2Co
_cell_length_a 3.438
_cell_length_b 9.067
_cell_length_c 5.847
_cell_angle_alpha 90.00
_cell_angle_beta 107.08
_cell_angle_gamma 90.00
_space_group_name_H-M_alt 'P 1 21/m 1'
_space_group_IT_number 11
loop_
_space_group_symop_operation_xyz
'x,y,z'
'-x,-y,-z'
'-x,y+1/2,-z'
'x,-y+1/2,z'
loop_
_atom_site_label
_atom_site_fract_x
_atom_site_fract_y
_atom_site_fract_z
Tb1 0.077 0.250 0.155
Zr1 0.359 0.064 0.717
Co1 0.218 0.750 0.436

***

5.
# KRbO2F PBE relaxed
# Magnetic moment, μB per formula unit: 3.00
# N(E_F), states/eV/atom: 1.842
# Raw formation energy, eV per atom: -0.653
data_KRbO2F
_cell_length_a 5.027
_cell_length_b 5.027
_cell_length_c 4.963
_cell_angle_alpha 90.00
_cell_angle_beta 90.00
_cell_angle_gamma 90.00
_space_group_name_H-M_alt 'P 4/m m m'
_space_group_IT_number 123
_space_group_name_Hall '-P 4 2'
loop_
_atom_site_label
_atom_site_fract_x
_atom_site_fract_y
_atom_site_fract_z
K1 0.000 0.000 0.000
Rb1 0.500 0.500 0.500
O1 0.000 0.500 0.000
F1 0.000 0.000 0.500

***

6.
# K2Te2Cl PBE relaxed
# Magnetic moment, μB per formula unit: 0.00
# N(E_F), states/eV/atom: 0.877
# Offset from the most stable computed form, meV per atom: 24
# Raw formation energy, eV per atom: -0.815
data_K2Te2Cl
_cell_length_a 8.826
_cell_length_b 8.826
_cell_length_c 4.979
_cell_angle_alpha 90.00
_cell_angle_beta 90.00
_cell_angle_gamma 90.00
_space_group_name_H-M_alt 'P 4/m b m'
_space_group_IT_number 127
_space_group_name_Hall '-P 4 2ab'
loop_
_atom_site_label
_atom_site_fract_x
_atom_site_fract_y
_atom_site_fract_z
K1 0.188 0.312 0.000
Te1 0.109 0.609 0.500
Cl1 0.000 0.000 0.500

***

7.
# LaErAlZn PBE relaxed
# Magnetic moment, μB per formula unit: 0.00
# N(E_F), states/eV/atom: 0.832
# Offset from the most stable computed form, meV per atom: 0
data_LaErAlZn
_cell_length_a 3.641
_cell_length_b 3.641
_cell_length_c 7.462
_cell_angle_alpha 90.00
_cell_angle_beta 90.00
_cell_angle_gamma 90.00
_space_group_name_H-M_alt 'P 4 m m'
_space_group_IT_number 99
loop_
_space_group_symop_operation_xyz
'x,y,z'
'-y,x,z'
'-x,-y,z'
'y,-x,z'
'-x,y,z'
'y,x,z'
'x,-y,z'
'-y,-x,z'
loop_
_atom_site_label
_atom_site_fract_x
_atom_site_fract_y
_atom_site_fract_z
La1 0.000 0.000 0.000
Er1 0.000 0.000 0.494
Al1 0.500 0.500 0.726
Zn1 0.500 0.500 0.285

***

8.
# SrCdIn2Ag2 PBE relaxed
# Magnetic moment, μB per formula unit: 0.00
# N(E_F), states/eV/atom: 0.478
# Total energy, eV/atom: -2.506
data_SrCdIn2Ag2
_cell_length_a 4.8446
_cell_length_b 4.8446
_cell_length_c 7.4403
_cell_angle_alpha 90.00
_cell_angle_beta 90.00
_cell_angle_gamma 120.00
_space_group_name_H-M_alt 'P -3 m 1'
_space_group_IT_number 164
_space_group_name_Hall '-P 3 2"'
loop_
_atom_site_label
_atom_site_fract_x
_atom_site_fract_y
_atom_site_fract_z
Sr1 0.0000 0.0000 0.0000
Cd1 0.0000 0.0000 0.5000
In1 0.3333 0.6667 0.2728
Ag1 0.3333 0.6667 0.6832